VASP calculation (PBE) on a geometry-optimized NiSn2P2 structure.

Lattice parameters (Å, degrees): 5.883 5.883 5.602 90.00 90.00 90.00
Positions (direct):
1 Ni 0.000 0.000 0.000
2 Ni 0.500 0.500 0.000
3 Sn 0.196 0.304 0.500
4 Sn 0.304 0.804 0.500
5 Sn 0.696 0.196 0.500
6 Sn 0.804 0.696 0.500
7 P 0.136 0.364 0.000
8 P 0.364 0.864 0.000
9 P 0.636 0.136 0.000
10 P 0.864 0.636 0.000

Computed properties:
Total magnetic moment (μB per formula unit): 0.00
Formation enthalpy at 0 K (eV per atom): -0.08
Space-group type: P4/mbm (127)